{
  "formula": "MgCd2Cu",
  "functional": "meta-GGA SCAN",
  "state": "PBEsol geometry",
  "lattice_angstrom": [[3.036, 0.000, -0.055], [0.000, 4.405, 0.000], [-1.460, 0.000, 5.424]],
  "species": ["Cu", "Mg", "Cd", "Cd"],
  "frac_coords": [[0.824, 0.000, 0.521], [0.419, 0.500, 0.709], [0.070, 0.000, 0.019], [0.687, 0.500, 0.251]],
  "ef_ev_per_atom": -0.019
}